Entry 1:
DFT (GGA-PBE) results for a geometry-optimized SrB2F8 structure.

```
data_SrB2F8
_chemical_formula_sum 'Sr8 B16 F64'
_symmetry_space_group_name_H-M 'P b c a'
_symmetry_Int_Tables_number 61
_cell_length_a 9.410
_cell_length_b 14.027
_cell_length_c 9.743
_cell_angle_alpha 90.00
_cell_angle_beta 90.00
_cell_angle_gamma 90.00
loop_
_symmetry_equiv_pos_as_xyz
'x,y,z'
'-x,-y,-z'
'-x+1/2,-y,z+1/2'
'x+1/2,y,-z+1/2'
'x+1/2,-y+1/2,-z'
'-x+1/2,y+1/2,z'
'-x,y+1/2,-z+1/2'
'x,-y+1/2,z+1/2'
loop_
_atom_site_label
_atom_site_fract_x
_atom_site_fract_y
_atom_site_fract_z
Sr1 0.219 0.104 0.034
B1 0.005 0.059 0.721
B2 0.176 0.657 0.399
F1 0.027 0.667 0.417
F2 0.075 0.616 0.869
F3 0.084 0.509 0.145
F4 0.088 0.509 0.689
F5 0.098 0.116 0.800
F6 0.213 0.678 0.261
F7 0.216 0.562 0.430
F8 0.248 0.721 0.487
```

Summary:
- DOS(E_F) (states/eV per atom) = 0.00
- VASP energy (eV/cell) = -525.36
- formation energy without anion corrections (eV/atom) = -3.24



Entry 2:
DFT (GGA-PBE) results for a geometry-optimized Tm4Bi2SbPb structure.

```
data_Tm4Bi2SbPb
_chemical_formula_sum 'Tm8 Bi4 Sb2 Pb2'
_symmetry_space_group_name_H-M 'I 4/m m m'
_symmetry_Int_Tables_number 139
_symmetry_space_group_name_Hall '-I 4 2'
_cell_length_a 6.228
_cell_length_b 6.228
_cell_length_c 12.450
_cell_angle_alpha 90.00
_cell_angle_beta 90.00
_cell_angle_gamma 90.00
loop_
_atom_site_label
_atom_site_fract_x
_atom_site_fract_y
_atom_site_fract_z
Tm1 0.000 0.000 0.247
Tm2 0.000 0.500 0.000
Bi1 0.000 0.500 0.250
Sb1 0.000 0.000 0.000
Pb1 0.000 0.000 0.500
```

Summary:
- DOS(E_F) (states/eV per atom) = 0.59
- VASP energy (eV/cell) = -78.39
- formation energy without anion corrections (eV/atom) = -0.71



Entry 3:
DFT (GGA-PBE) results for a geometry-optimized NbInNiRu structure.

```
data_NbInNiRu
_chemical_formula_sum 'Nb4 In4 Ni4 Ru4'
_symmetry_space_group_name_H-M 'F -4 3 m'
_symmetry_Int_Tables_number 216
_symmetry_space_group_name_Hall 'F -4 2 3'
_cell_length_a 6.331
_cell_length_b 6.331
_cell_length_c 6.331
_cell_angle_alpha 90.00
_cell_angle_beta 90.00
_cell_angle_gamma 90.00
loop_
_atom_site_label
_atom_site_fract_x
_atom_site_fract_y
_atom_site_fract_z
Nb1 0.000 0.000 0.000
In1 0.000 0.000 0.500
Ni1 0.250 0.250 0.250
Ru1 0.250 0.250 0.750
```

Summary:
- DOS(E_F) (states/eV per atom) = 1.01
- VASP energy (eV/cell) = -113.34



Entry 4:
DFT (GGA-PBE) results for a geometry-optimized KS2N2 structure.

```
data_KS2N2
_chemical_formula_sum 'K1 S2 N2'
_symmetry_space_group_name_H-M 'P 4/m m m'
_symmetry_Int_Tables_number 123
_symmetry_space_group_name_Hall '-P 4 2'
_cell_length_a 6.283
_cell_length_b 6.283
_cell_length_c 6.005
_cell_angle_alpha 90.00
_cell_angle_beta 90.00
_cell_angle_gamma 90.00
loop_
_atom_site_label
_atom_site_fract_x
_atom_site_fract_y
_atom_site_fract_z
K1 0.000 0.000 0.000
S1 0.000 0.500 0.000
N1 0.000 0.000 0.500
N2 0.500 0.500 0.500
```

Summary:
- DOS(E_F) (states/eV per atom) = 1.07
- VASP energy (eV/cell) = -13.28
- formation energy without anion corrections (eV/atom) = 2.55



Entry 5:
DFT (GGA-PBE) results for a geometry-optimized LaSb2Os structure.

```
data_LaSb2Os
_chemical_formula_sum 'La2 Sb4 Os2'
_symmetry_space_group_name_H-M 'I -4 m 2'
_symmetry_Int_Tables_number 119
_symmetry_space_group_name_Hall 'I -4 -2'
_cell_length_a 4.462
_cell_length_b 4.462
_cell_length_c 9.501
_cell_angle_alpha 90.00
_cell_angle_beta 90.00
_cell_angle_gamma 90.00
loop_
_atom_site_label
_atom_site_fract_x
_atom_site_fract_y
_atom_site_fract_z
La1 0.000 0.000 0.000
Sb1 0.000 0.000 0.500
Sb2 0.000 0.500 0.250
Os1 0.000 0.500 0.750
```

Summary:
- DOS(E_F) (states/eV per atom) = 0.76
- VASP energy (eV/cell) = -47.99
- formation energy without anion corrections (eV/atom) = 0.10



Entry 6:
DFT (GGA-PBE) results for a geometry-optimized SrSm2PuAs4 structure.

```
data_SrSm2PuAs4
_chemical_formula_sum 'Sr1 Sm2 Pu1 As4'
_symmetry_space_group_name_H-M 'P 1 2/m 1'
_symmetry_Int_Tables_number 10
_cell_length_a 7.361
_cell_length_b 4.248
_cell_length_c 7.363
_cell_angle_alpha 90.00
_cell_angle_beta 109.14
_cell_angle_gamma 90.00
loop_
_symmetry_equiv_pos_as_xyz
'x,y,z'
'-x,-y,-z'
'-x,y,-z'
'x,-y,z'
loop_
_atom_site_label
_atom_site_fract_x
_atom_site_fract_y
_atom_site_fract_z
Sr1 0.000 0.000 0.000
Sm1 0.500 0.000 0.500
Sm2 0.500 0.500 0.000
Pu1 0.000 0.500 0.500
As1 0.249 0.000 0.738
As2 0.256 0.500 0.267
```

Summary:
- DOS(E_F) (states/eV per atom) = 1.89
- VASP energy (eV/cell) = -53.86



Entry 7:
DFT (GGA-PBE) results for a geometry-optimized LiBC structure.

```
data_LiBC
_chemical_formula_sum 'Li6 B6 C6'
_symmetry_space_group_name_H-M 'R -3 m'
_symmetry_Int_Tables_number 166
_symmetry_space_group_name_Hall '-R 3 2"'
_cell_length_a 3.4240
_cell_length_b 3.4240
_cell_length_c 14.7694
_cell_angle_alpha 90.00
_cell_angle_beta 90.00
_cell_angle_gamma 120.00
loop_
_atom_site_label
_atom_site_fract_x
_atom_site_fract_y
_atom_site_fract_z
Li1 0.0000 0.0000 0.0841
B1 0.0000 0.0000 0.3519
C1 0.0000 0.0000 0.4573
```

Summary:
- DOS(E_F) (states/eV per atom) = 0.00
- VASP energy (eV/cell) = -104.95



Entry 8:
DFT (GGA-PBE) results for a geometry-optimized TbHo2Tm5 structure.

```
data_TbHo2Tm5
_chemical_formula_sum 'Tb4 Ho8 Tm20'
_symmetry_space_group_name_H-M 'C 1 2/m 1'
_symmetry_Int_Tables_number 12
_cell_length_a 16.093
_cell_length_b 5.546
_cell_length_c 11.273
_cell_angle_alpha 90.00
_cell_angle_beta 90.09
_cell_angle_gamma 90.00
loop_
_symmetry_equiv_pos_as_xyz
'x,y,z'
'-x,-y,-z'
'-x,y,-z'
'x,-y,z'
'x+1/2,y+1/2,z'
'-x+1/2,-y+1/2,-z'
'-x+1/2,y+1/2,-z'
'x+1/2,-y+1/2,z'
loop_
_atom_site_label
_atom_site_fract_x
_atom_site_fract_y
_atom_site_fract_z
Tb1 0.227 0.000 0.250
Ho1 0.212 0.000 0.580
Ho2 0.213 0.000 0.919
Tm1 0.044 0.000 0.387
Tm2 0.046 0.000 0.111
Tm3 0.087 0.500 0.578
Tm4 0.087 0.500 0.921
Tm5 0.105 0.500 0.250
```

Summary:
- DOS(E_F) (states/eV per atom) = 1.64
- VASP energy (eV/cell) = -139.90



Entry 9:
DFT (GGA-PBE) results for a geometry-optimized TcSb3C structure.

```
data_TcSb3C
_chemical_formula_sum 'Tc1 Sb3 C1'
_symmetry_space_group_name_H-M 'P m -3 m'
_symmetry_Int_Tables_number 221
_symmetry_space_group_name_Hall '-P 4 2 3'
_cell_length_a 4.634
_cell_length_b 4.634
_cell_length_c 4.634
_cell_angle_alpha 90.00
_cell_angle_beta 90.00
_cell_angle_gamma 90.00
loop_
_atom_site_label
_atom_site_fract_x
_atom_site_fract_y
_atom_site_fract_z
Tc1 0.000 0.000 0.000
Sb1 0.000 0.500 0.500
C1 0.500 0.500 0.500
```

Summary:
- DOS(E_F) (states/eV per atom) = 0.85
- VASP energy (eV/cell) = -25.62
- formation energy without anion corrections (eV/atom) = 1.27



Entry 10:
DFT (GGA-PBE) results for a geometry-optimized Tb10Dy4Th structure.

```
data_Tb10Dy4Th
_chemical_formula_sum 'Tb20 Dy8 Th2'
_symmetry_space_group_name_H-M 'I 4/m'
_symmetry_Int_Tables_number 87
_symmetry_space_group_name_Hall '-I 4'
_cell_length_a 9.710
_cell_length_b 9.710
_cell_length_c 10.466
_cell_angle_alpha 90.00
_cell_angle_beta 90.00
_cell_angle_gamma 90.00
loop_
_atom_site_label
_atom_site_fract_x
_atom_site_fract_y
_atom_site_fract_z
Tb1 0.000 0.500 0.250
Tb2 0.114 0.789 0.160
Dy1 0.066 0.666 0.500
Th1 0.000 0.000 0.500
```

Summary:
- DOS(E_F) (states/eV per atom) = 1.58
- VASP energy (eV/cell) = -132.83



Entry 11:
DFT (GGA-PBE) results for a geometry-optimized ZnCdCu structure.

```
data_ZnCdCu
_chemical_formula_sum 'Zn4 Cd4 Cu4'
_symmetry_space_group_name_H-M 'F -4 3 m'
_symmetry_Int_Tables_number 216
_symmetry_space_group_name_Hall 'F -4 2 3'
_cell_length_a 6.080
_cell_length_b 6.080
_cell_length_c 6.080
_cell_angle_alpha 90.00
_cell_angle_beta 90.00
_cell_angle_gamma 90.00
loop_
_atom_site_label
_atom_site_fract_x
_atom_site_fract_y
_atom_site_fract_z
Zn1 0.000 0.000 0.000
Cd1 0.000 0.000 0.500
Cu1 0.250 0.250 0.750
```

Summary:
- DOS(E_F) (states/eV per atom) = 0.54
- VASP energy (eV/cell) = -23.62



Entry 12:
DFT (GGA-PBE) results for a geometry-optimized Tm8ThMg2 structure.

```
data_Tm8ThMg2
_chemical_formula_sum 'Tm16 Th2 Mg4'
_symmetry_space_group_name_H-M 'C 1 2/m 1'
_symmetry_Int_Tables_number 12
_cell_length_a 17.459
_cell_length_b 4.946
_cell_length_c 7.797
_cell_angle_alpha 90.00
_cell_angle_beta 106.70
_cell_angle_gamma 90.00
loop_
_symmetry_equiv_pos_as_xyz
'x,y,z'
'-x,-y,-z'
'-x,y,-z'
'x,-y,z'
'x+1/2,y+1/2,z'
'-x+1/2,-y+1/2,-z'
'-x+1/2,y+1/2,-z'
'x+1/2,-y+1/2,z'
loop_
_atom_site_label
_atom_site_fract_x
_atom_site_fract_y
_atom_site_fract_z
Tm1 0.048 0.000 0.233
Tm2 0.092 0.500 0.956
Tm3 0.138 0.000 0.691
Tm4 0.182 0.500 0.421
Th1 0.000 0.500 0.500
Mg1 0.228 0.000 0.136
```

Summary:
- DOS(E_F) (states/eV per atom) = 1.66
- VASP energy (eV/cell) = -92.28



Entry 13:
DFT (GGA-PBE) results for a geometry-optimized Tb3SmY3 structure.

```
data_Tb3SmY3
_chemical_formula_sum 'Tb18 Sm6 Y18'
_symmetry_space_group_name_H-M 'R -3'
_symmetry_Int_Tables_number 148
_symmetry_space_group_name_Hall '-R 3'
_cell_length_a 6.2079
_cell_length_b 6.2079
_cell_length_c 42.8474
_cell_angle_alpha 90.00
_cell_angle_beta 90.00
_cell_angle_gamma 120.00
loop_
_atom_site_label
_atom_site_fract_x
_atom_site_fract_y
_atom_site_fract_z
Tb1 0.0001 0.3317 0.1331
Sm1 0.0000 0.0000 0.3333
Y1 0.0002 0.3332 0.2663
```

Summary:
- DOS(E_F) (states/eV per atom) = 1.52
- VASP energy (eV/cell) = -221.98



Entry 14:
DFT (GGA-PBE) results for a geometry-optimized EuAgPd structure.

```
data_EuAgPd
_chemical_formula_sum 'Eu2 Ag2 Pd2'
_symmetry_space_group_name_H-M 'I 4 m m'
_symmetry_Int_Tables_number 107
_symmetry_space_group_name_Hall 'I 4 -2'
_cell_length_a 3.663
_cell_length_b 3.663
_cell_length_c 9.948
_cell_angle_alpha 90.00
_cell_angle_beta 90.00
_cell_angle_gamma 90.00
loop_
_atom_site_label
_atom_site_fract_x
_atom_site_fract_y
_atom_site_fract_z
Eu1 0.000 0.000 0.000
Ag1 0.000 0.000 0.693
Pd1 0.000 0.000 0.323
```

Summary:
- DOS(E_F) (states/eV per atom) = 4.14
- VASP energy (eV/cell) = -38.65



Entry 15:
DFT (GGA-PBE) results for a geometry-optimized InN2O structure.

```
data_InN2O
_chemical_formula_sum 'In3 N6 O3'
_symmetry_space_group_name_H-M 'R -3 m'
_symmetry_Int_Tables_number 166
_symmetry_space_group_name_Hall '-R 3 2"'
_cell_length_a 3.8920
_cell_length_b 3.8920
_cell_length_c 10.2469
_cell_angle_alpha 90.00
_cell_angle_beta 90.00
_cell_angle_gamma 120.00
loop_
_atom_site_label
_atom_site_fract_x
_atom_site_fract_y
_atom_site_fract_z
In1 0.0000 0.0000 0.0000
N1 0.0000 0.0000 0.2019
O1 0.0000 0.0000 0.5000
```

Summary:
- DOS(E_F) (states/eV per atom) = 0.34
- VASP energy (eV/cell) = -51.08
- formation energy without anion corrections (eV/atom) = 1.83



Entry 16:
DFT (GGA-PBE) results for a geometry-optimized TlSn3Au3 structure.

```
data_TlSn3Au3
_chemical_formula_sum 'Tl6 Sn18 Au18'
_symmetry_space_group_name_H-M 'R -3'
_symmetry_Int_Tables_number 148
_symmetry_space_group_name_Hall '-R 3'
_cell_length_a 8.5434
_cell_length_b 8.5434
_cell_length_c 17.6784
_cell_angle_alpha 90.00
_cell_angle_beta 90.00
_cell_angle_gamma 120.00
loop_
_atom_site_label
_atom_site_fract_x
_atom_site_fract_y
_atom_site_fract_z
Tl1 0.0000 0.0000 0.1679
Sn1 0.0032 0.6978 0.5924
Au1 0.0025 0.6486 0.4182
```

Summary:
- DOS(E_F) (states/eV per atom) = 0.44
- VASP energy (eV/cell) = -148.06



Entry 17:
DFT (GGA-PBE) results for a geometry-optimized Hf2ZrTl2 structure.

```
data_Hf2ZrTl2
_chemical_formula_sum 'Hf4 Zr2 Tl4'
_symmetry_space_group_name_H-M 'P 4/m b m'
_symmetry_Int_Tables_number 127
_symmetry_space_group_name_Hall '-P 4 2ab'
_cell_length_a 7.821
_cell_length_b 7.821
_cell_length_c 3.794
_cell_angle_alpha 90.00
_cell_angle_beta 90.00
_cell_angle_gamma 90.00
loop_
_atom_site_label
_atom_site_fract_x
_atom_site_fract_y
_atom_site_fract_z
Hf1 0.171 0.329 0.000
Zr1 0.000 0.000 0.500
Tl1 0.134 0.634 0.500
```

Summary:
- DOS(E_F) (states/eV per atom) = 1.23
- VASP energy (eV/cell) = -64.84